1.
Computed, not measured: a relaxed structure of TbNi7B5 at the GGA-PBE level of DFT.

POSCAR file:
```
TbNi7B5
1.0
-2.217 3.819 3.727
2.217 -3.819 3.727
2.217 3.819 -3.727
Tb Ni B
1 7 5
direct
0.000 0.000 0.000
0.256 0.546 0.710
0.321 0.974 0.346
0.348 0.348 0.000
0.628 0.974 0.654
0.659 0.659 0.000
0.776 0.276 0.500
0.837 0.546 0.290
0.016 0.060 0.549
0.016 0.466 0.955
0.241 0.741 0.500
0.511 0.060 0.045
0.511 0.466 0.451
```

Calculated values
For the energy, the calculation gives -80.0 eV per cell.

=====

2.
Computed, not measured: a relaxed structure of Tb3Ni13B2 at the GGA-PBE level of DFT.

POSCAR file:
```
Tb3Ni13B2
1.0
4.957 0.000 0.000
-2.478 4.293 0.000
0.000 0.000 10.913
Tb Ni B
3 13 2
direct
0.000 0.000 0.000
0.000 0.000 0.329
0.000 0.000 0.671
0.000 0.500 0.133
0.000 0.500 0.500
0.000 0.500 0.867
0.333 0.667 0.319
0.333 0.667 0.681
0.500 0.000 0.133
0.500 0.000 0.500
0.500 0.000 0.867
0.500 0.500 0.133
0.500 0.500 0.500
0.500 0.500 0.867
0.667 0.333 0.319
0.667 0.333 0.681
0.333 0.667 0.000
0.667 0.333 0.000
```

Calculated values
For the energy, the calculation gives -110.1 eV per cell.

=====

Energy of formation / meV/atom: -114, -427